Density functional theory data (PBE-GGA) for an optimized crystal structure of ErPa2Os.

Computed properties:
**Offset from the most stable computed form**: 0.071 eV/atom
**Energy of formation**: 72 meV/atom
**Spin magnetization**: 0.00 μB per cell
**Uncorrected energy**: -103.5 eV per cell

Unit cell a=3.7356 b=3.7356 c=26.4449 alpha=90.00 beta=90.00 gamma=120.00
Space group R-3m (No. 166, hexagonal axes)
Symmetry-distinct sites (fractional):
Er1 0.0000 0.0000 0.0000 [3 per cell]
Pa1 0.0000 0.0000 0.2313 [6 per cell]
Os1 0.0000 0.0000 0.5000 [3 per cell]

***

Density functional theory data (PBE-GGA) for an optimized crystal structure of ErHgPbBr6.

Computed properties:
**Raw formation energy**: -1130 meV/atom
**Spin magnetization**: 0.00 μB per cell
**Uncorrected energy**: -28.8 eV per cell

Unit cell a=7.5029 b=7.5029 c=6.7890 alpha=90.00 beta=90.00 gamma=120.00
Space group P312 (No. 149)
Symmetry-distinct sites (fractional):
Er1 0.0000 0.0000 0.0000 [1 per cell]
Hg1 0.6667 0.3333 0.5000 [1 per cell]
Pb1 0.3333 0.6667 0.0000 [1 per cell]
Br1 0.0074 0.3082 0.7621 [6 per cell]

***

Density functional theory data (PBE-GGA) for an optimized crystal structure of Er2PPd8.

Computed properties:
**Energy of formation**: -735 meV/atom
**Spin magnetization**: 0.00 μB per cell
**Uncorrected energy**: -128.3 eV per cell

Unit cell a=4.667 b=5.801 c=13.816 alpha=90.00 beta=90.00 gamma=90.00
Space group Immm (No. 71)
Symmetry-distinct sites (fractional):
Er1 0.000 0.000 0.187 [4 per cell]
P1 0.000 0.000 0.500 [2 per cell]
Pd1 0.000 0.254 0.373 [8 per cell]
Pd2 0.000 0.260 0.000 [4 per cell]
Pd3 0.000 0.500 0.188 [4 per cell]

***

Density functional theory data (PBE-GGA) for an optimized crystal structure of Ac2TlCd2.

Computed properties:
**Offset from the most stable computed form**: 0.000 eV/atom
**Energy of formation**: -299 meV/atom
**Spin magnetization**: 0.00 μB per cell
**Uncorrected energy**: -55.6 eV per cell

Unit cell a=12.002 b=5.066 c=12.093 alpha=90.00 beta=116.89 gamma=90.00
Space group C2/m (No. 12)
Symmetry-distinct sites (fractional):
Ac1 0.019 0.000 0.335 [4 per cell]
Ac2 0.189 0.000 0.105 [4 per cell]
Tl1 0.224 0.500 0.339 [4 per cell]
Cd1 0.026 0.500 0.890 [4 per cell]
Cd2 0.137 0.500 0.557 [4 per cell]